Nd2MoO6 (GGA+U, relaxed); total DFT energy (no corrections) = -7.854 eV/atom; crystal system = tetragonal; SG = I4_1/acd; D(E_F) = 0.000 states/eV per atom
1.0
-2.868 2.868 16.004
2.868 -2.868 16.004
2.868 2.868 -16.004
Nd Mo O
8 4 24
Cartesian
2.868 1.434 -6.797
2.868 1.434 -1.205
0.000 1.434 1.205
0.000 1.434 6.797
2.868 1.434 9.207
2.868 1.434 14.799
0.000 1.434 17.209
0.000 1.434 22.802
2.868 -1.434 12.003
2.868 1.434 4.001
0.000 1.434 12.003
0.000 4.302 4.001
4.302 0.036 0.000
4.738 -0.464 2.837
0.970 -0.436 5.165
1.870 0.464 2.837
3.838 0.436 5.165
1.470 2.868 -8.002
1.470 0.000 8.002
0.970 2.432 -5.165
1.870 -0.464 13.167
0.970 0.436 10.840
1.870 3.332 -2.837
1.434 2.832 0.000
1.434 0.036 16.004
0.998 -0.464 18.842
1.898 2.432 5.165
0.998 3.332 2.837
1.898 0.436 21.169
1.398 2.868 8.002
1.398 0.000 24.006
-0.970 2.432 10.840
0.998 2.404 13.167
1.898 3.304 10.840
-1.870 3.332 13.167
-1.434 2.832 16.004